1.
Below is an optimized crystal structure of ScAl2FeCu, with properties calculated at the PBE-GGA level.

SG: P4/mmm, No. 123
crystal system: tetragonal
formation enthalpy at 0 K: 1316 meV per atom

Unit cell a=5.1594 b=5.1594 c=4.3118 alpha=90.00 beta=90.00 gamma=90.00
Last column: nearest neighbours and their distance in Å.
Atoms (fractional coordinates):
1 Sc 0.0000 0.0000 0.0000  2 Fe 2.16
2 Al 0.0000 0.5000 0.0000  2 Sc 2.58
3 Al 0.5000 0.0000 0.0000  2 Sc 2.58
4 Fe 0.0000 0.0000 0.5000  2 Sc 2.16
5 Cu 0.5000 0.5000 0.5000  8 Al 3.36, 4 Fe 3.65

---

2.
Below is an optimized crystal structure of La3Pm2Ho, with properties calculated at the PBE-GGA level.

SG: P6_3/mcm, No. 193
crystal system: hexagonal
relative energy among the computed polymorphs: 8 meV per atom
formation enthalpy at 0 K: 26 meV per atom

Unit cell a=6.3936 b=6.3936 c=11.9574 alpha=90.00 beta=90.00 gamma=120.00
Last column: nearest neighbours and their distance in Å.
Atoms (fractional coordinates):
1 La 0.0000 0.3314 0.2500  2 Ho 3.66, 6 La 3.67-3.70, 4 Pm 3.67
2 La 0.0000 0.6686 0.7500  2 Ho 3.66, 6 La 3.67-3.70, 4 Pm 3.67
3 La 0.3314 0.0000 0.2500  2 Ho 3.66, 6 La 3.67-3.70, 4 Pm 3.67
4 La 0.3314 0.3314 0.7500  2 Ho 3.66, 6 La 3.67-3.70, 4 Pm 3.67
5 La 0.6686 0.0000 0.7500  2 Ho 3.66, 6 La 3.67-3.70, 4 Pm 3.67
6 La 0.6686 0.6686 0.2500  2 Ho 3.66, 6 La 3.67-3.70, 4 Pm 3.67
7 Pm 0.3333 0.6667 0.0000  6 La 3.67, 3 Ho 3.69, 3 Pm 3.69
8 Pm 0.3333 0.6667 0.5000  6 La 3.67, 3 Ho 3.69, 3 Pm 3.69
9 Pm 0.6667 0.3333 0.0000  6 La 3.67, 3 Ho 3.69, 3 Pm 3.69
10 Pm 0.6667 0.3333 0.5000  6 La 3.67, 3 Ho 3.69, 3 Pm 3.69
11 Ho 0.0000 0.0000 0.0000  6 La 3.66, 6 Pm 3.69
12 Ho 0.0000 0.0000 0.5000  6 La 3.66, 6 Pm 3.69

---

3.
Below is an optimized crystal structure of Ti7Ga4Ge, with properties calculated at the PBE-GGA level.

SG: C2/m, No. 12
crystal system: monoclinic
formation enthalpy at 0 K: -93 meV per atom

Unit cell a=6.2546 b=6.2546 c=9.5720 alpha=123.69 beta=123.69 gamma=45.64
Last column: nearest neighbours and their distance in Å.
Atoms (fractional coordinates):
1 Ti 0.0000 0.0000 0.0000  2 Ge 2.43, 4 Ga 2.67-2.70
2 Ti 0.1535 0.1535 0.5822  5 Ga 2.56-2.76, 1 Ti 2.67
3 Ti 0.2891 0.2891 0.1261  2 Ti 2.62-2.78, 4 Ga 2.69-2.77
4 Ti 0.4272 0.4272 0.6883  1 Ge 2.57, 2 Ti 2.62-2.67, 5 Ga 2.68-2.83
5 Ti 0.5728 0.5728 0.3117  1 Ge 2.57, 2 Ti 2.62-2.67, 5 Ga 2.68-2.83
6 Ti 0.7109 0.7109 0.8739  2 Ti 2.62-2.78, 4 Ga 2.69-2.77
7 Ti 0.8465 0.8465 0.4178  5 Ga 2.56-2.76, 1 Ti 2.67
8 Ga 0.0659 0.0659 0.7730  8 Ti 2.56-2.77, 1 Ga 2.70
9 Ga 0.2137 0.2137 0.3434  8 Ti 2.67-2.83, 1 Ga 2.70
10 Ga 0.7863 0.7863 0.6566  8 Ti 2.67-2.83, 1 Ga 2.70
11 Ga 0.9341 0.9341 0.2270  8 Ti 2.56-2.77, 1 Ga 2.70
12 Ge 0.5000 0.5000 0.0000  4 Ti 2.43-2.57

---

4.
Below is an optimized crystal structure of Ac5Er, with properties calculated at the PBE-GGA level.

SG: Cm, No. 8
crystal system: monoclinic
relative energy among the computed polymorphs: 17 meV per atom
formation enthalpy at 0 K: 58 meV per atom

Unit cell a=7.4565 b=7.4565 c=9.2939 alpha=103.99 beta=103.99 gamma=30.86
Last column: nearest neighbours and their distance in Å.
Atoms (fractional coordinates):
1 Ac 0.0000 0.0000 0.0000  9 Ac 3.80-3.97, 3 Er 3.82-3.99
2 Ac 0.0514 0.0514 0.6183  10 Ac 3.80-4.06, 2 Er 3.91
3 Ac 0.3238 0.3238 0.6780  10 Ac 3.81-4.08, 2 Er 3.82
4 Ac 0.3806 0.3806 0.2689  2 Er 3.86, 10 Ac 3.89-4.08
5 Ac 0.6621 0.6621 0.3335  1 Er 3.86, 11 Ac 3.89-3.98
6 Er 0.7160 0.7160 0.9475  10 Ac 3.82-3.99, 2 Er 3.97

---

5.
Below is an optimized crystal structure of CaNb3Se, with properties calculated at the PBE-GGA level.

SG: Pm-3m, No. 221
crystal system: cubic
relative energy among the computed polymorphs: 0 meV per atom

Unit cell a=4.8784 b=4.8784 c=4.8784 alpha=90.00 beta=90.00 gamma=90.00
Last column: nearest neighbours and their distance in Å.
Atoms (fractional coordinates):
1 Ca 0.0000 0.0000 0.0000  12 Nb 3.45
2 Nb 0.0000 0.5000 0.5000  2 Se 2.44
3 Nb 0.5000 0.0000 0.5000  2 Se 2.44
4 Nb 0.5000 0.5000 0.0000  2 Se 2.44
5 Se 0.5000 0.5000 0.5000  6 Nb 2.44

---

6.
Below is an optimized crystal structure of CaNbCl, with properties calculated at the PBE-GGA level.

SG: P4/nmm, No. 129
crystal system: tetragonal
VASP energy: -5.502 eV per atom

Unit cell a=3.5835 b=3.5835 c=11.7262 alpha=90.00 beta=90.00 gamma=90.00
Last column: nearest neighbours and their distance in Å.
Atoms (fractional coordinates):
1 Ca 0.2500 0.2500 0.2456  4 Cl 2.87
2 Ca 0.7500 0.7500 0.7544  4 Cl 2.87
3 Nb 0.2500 0.2500 0.9583  4 Nb 2.72
4 Nb 0.7500 0.7500 0.0417  4 Nb 2.72
5 Cl 0.2500 0.2500 0.6393  4 Ca 2.87
6 Cl 0.7500 0.7500 0.3607  4 Ca 2.87

---

7.
Below is an optimized crystal structure of ScAs2Br, with properties calculated at the PBE-GGA level.

SG: P4/mmm, No. 123
crystal system: tetragonal
relative energy among the computed polymorphs: 243 meV per atom

Unit cell a=3.7082 b=3.7082 c=6.5472 alpha=90.00 beta=90.00 gamma=90.00
Last column: nearest neighbours and their distance in Å.
Atoms (fractional coordinates):
1 Sc 0.0000 0.0000 0.0000  8 As 2.89
2 As 0.5000 0.5000 0.1854  1 As 2.43
3 As 0.5000 0.5000 0.8146  1 As 2.43
4 Br 0.0000 0.0000 0.5000  2 Sc 3.27, 8 As 3.33

---

8.
Below is an optimized crystal structure of CaLaH2, with properties calculated at the PBE-GGA level.

SG: R-3m, No. 166
crystal system: trigonal
relative energy among the computed polymorphs: 0 meV per atom

Unit cell a=6.3555 b=6.3555 c=6.3555 alpha=33.45 beta=33.45 gamma=33.45
Last column: nearest neighbours and their distance in Å.
Atoms (fractional coordinates):
1 Ca 0.0000 0.0000 0.0000  6 H 2.56
2 La 0.5000 0.5000 0.5000  6 H 2.62
3 H 0.2529 0.2529 0.2529  3 Ca 2.56, 3 La 2.62
4 H 0.7471 0.7471 0.7471  3 Ca 2.56, 3 La 2.62